Crystalline DyYGe2Pt5 at its relaxed geometry. Source: Alexandria, functional PBE.

Values from the calculation:
Crystal system ... tetragonal
Formation enthalpy at 0 K ... -938 meV/atom

a = 4.2477 Å, b = 4.2477 Å, c = 9.0731 Å
α = 90.00°, β = 90.00°, γ = 90.00°
With the nearest neighbours (Å) after each atom.
Space group P4/mmm (No. 123)
Inequivalent atoms, fractional coordinates:
Dy1 0.0000 0.0000 0.0000 x1  8 Ge 3.24, 8 Pt 3.27
Y1 0.0000 0.0000 0.5000 x1  12 Pt 2.96-3.00
Ge1 0.5000 0.5000 0.1335 x2  1 Ge 2.42, 4 Pt 2.47
Pt1 0.0000 0.5000 0.2733 x4  2 Ge 2.47
Pt2 0.5000 0.5000 0.5000 x1  8 Pt 2.96, 4 Y 3.00